1.
# Si3HgRu SCAN PBEsol geometry
data_Si3HgRu
_cell_length_a 4.8160
_cell_length_b 4.8160
_cell_length_c 4.8160
_cell_angle_alpha 90.00
_cell_angle_beta 90.00
_cell_angle_gamma 90.00
_space_group_name_H-M_alt 'P m -3 m'
_space_group_IT_number 221
_space_group_name_Hall '-P 4 2 3'
loop_
_atom_site_label
_atom_site_type_symbol
_atom_site_fract_x
_atom_site_fract_y
_atom_site_fract_z
Si1 Si 0.0000 0.0000 0.5000
Hg1 Hg 0.0000 0.0000 0.0000
Ru1 Ru 0.5000 0.5000 0.5000
# D(E_F) = 3.823 states/eV/f.u.
# Energy = -123.051 eV for the cell shown
# Formation energy (no corrections) = 2.00 eV/atom
# Size of the total moment = 0.36 μB/atom


2.
# Er2InAg SCAN PBEsol geometry
data_Er2InAg
_cell_length_a 3.5277
_cell_length_b 3.5277
_cell_length_c 7.5143
_cell_angle_alpha 90.00
_cell_angle_beta 90.00
_cell_angle_gamma 90.00
_space_group_name_H-M_alt 'P 4/m m m'
_space_group_IT_number 123
_space_group_name_Hall '-P 4 2'
loop_
_atom_site_label
_atom_site_type_symbol
_atom_site_fract_x
_atom_site_fract_y
_atom_site_fract_z
Er1 Er 0.0000 0.0000 0.2360
In1 In 0.5000 0.5000 0.5000
Ag1 Ag 0.5000 0.5000 0.0000
# D(E_F) = 2.247 states/eV/f.u.
# Energy = -167.480 eV for the cell shown
# Formation enthalpy at 0 K = -0.5115 eV/atom
# Size of the total moment = 0.00 μB/atom


3.
# La3Te SCAN PBEsol geometry
data_La3Te
_cell_length_a 7.9540
_cell_length_b 10.1713
_cell_length_c 6.3553
_cell_angle_alpha 90.00
_cell_angle_beta 90.00
_cell_angle_gamma 90.00
_space_group_name_H-M_alt 'P n m a'
_space_group_IT_number 62
loop_
_space_group_symop_operation_xyz
'x,y,z'
'-x,-y,-z'
'-x+1/2,-y,z+1/2'
'x+1/2,y,-z+1/2'
'x+1/2,-y+1/2,-z+1/2'
'-x+1/2,y+1/2,z+1/2'
'-x,y+1/2,-z'
'x,-y+1/2,z'
loop_
_atom_site_label
_atom_site_type_symbol
_atom_site_fract_x
_atom_site_fract_y
_atom_site_fract_z
La1 La 0.0281 0.2500 0.1228
La2 La 0.2010 0.0354 0.6165
Te1 Te 0.0987 0.7500 0.3955
# D(E_F) = 4.137 states/eV/f.u.
# ΔE to the lowest computed polymorph = 0 meV per atom
# Energy = -679.977 eV for the cell shown
# Formation energy (no corrections) = -0.86 eV/atom
# Size of the total moment = 0.00 μB/atom


4.
# MnOs3 SCAN PBEsol geometry
data_MnOs3
_cell_length_a 5.3356
_cell_length_b 12.8684
_cell_length_c 4.6201
_cell_angle_alpha 90.00
_cell_angle_beta 90.00
_cell_angle_gamma 90.00
_space_group_name_H-M_alt 'P m m n'
_space_group_IT_number 59
loop_
_space_group_symop_operation_xyz
'x,y,z'
'-x,-y,-z'
'-x+1/2,-y+1/2,z'
'x+1/2,y+1/2,-z'
'x+1/2,-y,-z'
'-x+1/2,y,z'
'-x,y+1/2,-z'
'x,-y+1/2,z'
loop_
_atom_site_label
_atom_site_type_symbol
_atom_site_fract_x
_atom_site_fract_y
_atom_site_fract_z
Mn1 Mn 0.2500 0.0870 0.1623
Mn2 Mn 0.2500 0.7500 0.5033
Os1 Os 0.0006 0.2500 0.0043
Os2 Os 0.0009 0.5868 0.3330
Os3 Os 0.2500 0.2500 0.4937
Os4 Os 0.2500 0.5850 0.8327
# D(E_F) = 2.830 states/eV/f.u.
# Energy = -1403.036 eV for the cell shown
# Formation enthalpy at 0 K = 0.0139 eV/atom
# Size of the total moment = 0.31 μB/atom


5.
# HoZrCo4 SCAN PBEsol geometry
data_HoZrCo4
_cell_length_a 6.8678
_cell_length_b 6.8678
_cell_length_c 6.8678
_cell_angle_alpha 90.00
_cell_angle_beta 90.00
_cell_angle_gamma 90.00
_space_group_name_H-M_alt 'F -4 3 m'
_space_group_IT_number 216
_space_group_name_Hall 'F -4 2 3'
loop_
_atom_site_label
_atom_site_type_symbol
_atom_site_fract_x
_atom_site_fract_y
_atom_site_fract_z
Ho1 Ho 0.0000 0.0000 0.0000
Zr1 Zr 0.2500 0.2500 0.2500
Co1 Co 0.1249 0.1249 0.6249
# D(E_F) = 3.052 states/eV/f.u.
# Energy = -600.276 eV for the cell shown
# Formation enthalpy at 0 K = -0.1942 eV/atom
# Size of the total moment = 0.56 μB/atom


6.
# In3CoPt SCAN PBEsol geometry
data_In3CoPt
_cell_length_a 5.0574
_cell_length_b 5.0574
_cell_length_c 5.0574
_cell_angle_alpha 90.00
_cell_angle_beta 90.00
_cell_angle_gamma 90.00
_space_group_name_H-M_alt 'P m -3 m'
_space_group_IT_number 221
_space_group_name_Hall '-P 4 2 3'
loop_
_atom_site_label
_atom_site_type_symbol
_atom_site_fract_x
_atom_site_fract_y
_atom_site_fract_z
In1 In 0.0000 0.0000 0.5000
Co1 Co 0.5000 0.5000 0.5000
Pt1 Pt 0.0000 0.0000 0.0000
# D(E_F) = 4.446 states/eV/f.u.
# ΔE to the lowest computed polymorph = 0 meV per atom
# Energy = -185.676 eV for the cell shown
# Formation enthalpy at 0 K = 0.3961 eV/atom
# Size of the total moment = 0.48 μB/atom